A plane-wave DFT calculation with PBE was carried out for a relaxed Ta2ZnAu crystal.

Its volume is 69 Å³/cell. The mass density comes out at 14946 kg/m3. Its total energy is -27.9 eV/cell. For the energy relative to the elements, the calculation gives 0.08 eV/atom.

Cell: 5.148 5.148 4.934 Å, 80.25 80.25 32.60°
Positions (direct):
1 Ta 0.499 0.499 0.498
2 Au 0.750 0.750 0.750
3 Ta 0.001 0.001 0.002
4 Zn 0.250 0.250 0.250

=====

A plane-wave DFT calculation with PBE was carried out for a relaxed MgB6W2 crystal.

Its volume is 80 Å³/cell. The mass density comes out at 9513 kg/m3. Its total energy is -69.4 eV/cell. For the energy relative to the elements, the calculation gives -0.21 eV/atom.

Cell: 3.282 5.297 5.297 Å, 120.00 90.00 90.00°
Positions (direct):
1 W 0.000 0.667 0.333
2 B 0.500 0.332 0.000
3 W 0.000 0.333 0.667
4 B 0.500 0.668 0.668
5 B 0.500 0.000 0.668
6 B 0.500 0.332 0.332
7 Mg 0.000 0.000 0.000
8 B 0.500 0.000 0.332
9 B 0.500 0.668 0.000